Crystalline Ir2OsRu at its relaxed geometry, computed with GGA-PBE.

**Energy above the lowest structure with this stoichiometry**: 464 meV per atom
**Calculated volume**: 14.8 Å³ per atom
**Energy relative to the elements**: 1.87 eV per formula unit
**Crystal system**: tetragonal
**Density of states at the Fermi level**: 5.8 states/eV per cell

Structure (extended XYZ):
```
4
Lattice="-0.933 2.026 -2.453 -3.175 -0.433 0.850 0.325 4.215 3.359" Properties=species:S:1:pos:R:3 pbc="T T T"
Ir 0.000 0.004 0.003
Ir -1.973 1.851 0.039
Os 0.162 2.104 1.676
Ru -1.810 3.958 1.717
```


Crystalline La2InNiHg at its relaxed geometry, computed with GGA-PBE.

**Energy above the lowest structure with this stoichiometry**: 0 meV per atom
**Calculated volume**: 28.7 Å³ per atom
**Energy relative to the elements**: -1.74 eV per formula unit
**Crystal system**: tetragonal
**Density of states at the Fermi level**: 6.8 states/eV per cell

Structure (extended XYZ):
```
5
Lattice="-2.478 -1.959 4.385 0.748 -5.032 -1.825 4.315 -0.209 2.345" Properties=species:S:1:pos:R:3 pbc="T T T"
Ni 0.000 0.000 0.000
In 2.157 -0.105 1.172
Hg 1.293 -3.600 2.452
La 0.374 -2.516 -0.913
La -1.239 -0.980 2.193
```


Crystalline PmGdHgRh at its relaxed geometry, computed with GGA-PBE.

**Calculated volume**: 24.1 Å³ per atom
**Energy relative to the elements**: -2.22 eV per formula unit
**Crystal system**: cubic
**Density of states at the Fermi level**: 2.3 states/eV per cell

Structure (extended XYZ):
```
4
Lattice="-2.157 4.569 0.969 -0.422 1.669 4.848 2.904 3.921 1.633" Properties=species:S:1:pos:R:3 pbc="T T T"
Gd 0.243 7.619 5.588
Rh 0.000 0.000 0.000
Hg 0.162 5.080 3.725
Pm 0.081 2.540 1.863
```


Crystalline Y2Zn16Ge at its relaxed geometry, computed with GGA-PBE.

**Calculated volume**: 16.3 Å³ per atom
**Energy relative to the elements**: -4.12 eV per formula unit
**Crystal system**: trigonal
**Density of states at the Fermi level**: 8.0 states/eV per cell

Structure (extended XYZ):
```
19
Lattice="6.761 -0.020 0.740 0.661 6.729 0.740 -0.022 -0.020 6.802" Properties=species:S:1:pos:R:3 pbc="T T T"
Y 4.935 4.460 5.523
Y 2.479 2.240 2.774
Zn 4.671 -0.017 2.612
Zn 0.192 2.064 4.934
Zn 2.545 4.649 0.743
Zn 0.453 4.649 2.612
Zn 4.882 2.064 0.743
Zn 2.073 -0.017 4.934
Zn 2.905 5.597 3.250
Zn 5.861 2.326 3.250
Zn 2.573 2.326 6.189
Zn 4.487 1.114 5.022
Zn 1.560 4.352 5.022
Zn 4.815 4.352 2.113
Zn 0.366 3.295 0.410
Zn 3.315 0.033 0.410
Zn 0.036 0.033 3.340
Zn 0.709 0.640 0.793
Ge 6.645 6.006 7.436
```


Crystalline Pr4PdPt3 at its relaxed geometry, computed with GGA-PBE.

**Calculated volume**: 25.0 Å³ per atom
**Energy relative to the elements**: -8.35 eV per formula unit
**Crystal system**: orthorhombic
**Density of states at the Fermi level**: 4.6 states/eV per cell

Structure (extended XYZ):
```
8
Lattice="-2.941 0.424 -2.600 -1.463 -4.262 0.960 -6.444 4.001 7.941" Properties=species:S:1:pos:R:3 pbc="T T T"
Pr -4.559 -0.456 2.084
Pr -6.279 1.313 7.316
Pr -0.880 0.547 1.085
Pr -5.577 2.762 3.761
Pd -2.752 -1.577 -0.142
Pt -4.521 0.222 5.149
Pt -2.651 1.646 3.267
Pt -7.367 3.873 5.966
```


Crystalline In4FePt at its relaxed geometry, computed with GGA-PBE.

**Calculated volume**: 22.7 Å³ per atom
**Energy relative to the elements**: 4.16 eV per formula unit
**Crystal system**: cubic
**Density of states at the Fermi level**: 5.1 states/eV per cell

Structure (extended XYZ):
```
6
Lattice="0.000 4.085 4.085 4.085 0.000 4.085 4.085 4.085 0.000" Properties=species:S:1:pos:R:3 pbc="T T T"
In 3.065 5.105 5.105
In 5.105 5.105 3.065
In 5.105 3.065 5.105
In 3.065 3.065 3.065
Fe 0.000 0.000 0.000
Pt 6.127 6.127 6.127
```


Crystalline Na5Mg2Ga12 at its relaxed geometry, computed with GGA-PBE.

**Calculated volume**: 21.8 Å³ per atom
**Energy relative to the elements**: -1.59 eV per formula unit
**Crystal system**: monoclinic
**Density of states at the Fermi level**: 6.8 states/eV per cell

Structure (extended XYZ):
```
19
Lattice="6.595 0.033 0.396 -0.217 5.933 3.126 -0.303 -1.397 9.832" Properties=species:S:1:pos:R:3 pbc="T T T"
Na 3.400 3.846 7.338
Na 0.066 3.486 7.789
Na 3.297 0.016 0.198
Na 6.009 1.082 5.564
Na 2.675 0.722 6.015
Mg -0.165 4.509 2.376
Mg -0.052 1.424 0.750
Ga 0.339 -0.316 7.824
Ga 4.622 1.137 8.620
Ga 4.503 4.386 10.332
Ga 1.993 1.407 9.093
Ga 1.909 3.694 10.298
Ga 4.102 1.848 11.178
Ga 1.973 2.720 2.175
Ga 4.082 3.161 4.260
Ga 4.166 0.874 3.055
Ga 1.453 3.431 4.733
Ga 1.572 0.182 3.022
Ga 5.735 4.884 5.530
```


Crystalline LiRh3 at its relaxed geometry, computed with GGA-PBE.

**Calculated volume**: 14.1 Å³ per atom
**Energy relative to the elements**: 0.33 eV per formula unit
**Crystal system**: orthorhombic
**Density of states at the Fermi level**: 6.5 states/eV per cell

Structure (extended XYZ):
```
4
Lattice="2.685 -0.002 0.000 -1.291 2.354 0.000 0.000 0.000 8.942" Properties=species:S:1:pos:R:3 pbc="T T T"
Li 0.000 0.000 0.000
Rh 0.697 1.176 6.746
Rh 0.000 0.000 4.471
Rh 0.697 1.176 2.196
```


Crystalline TmGa3Au2 at its relaxed geometry, computed with GGA-PBE.

**Calculated volume**: 19.7 Å³ per atom
**Energy relative to the elements**: -2.96 eV per formula unit
**Crystal system**: monoclinic
**Density of states at the Fermi level**: 3.2 states/eV per cell

Structure (extended XYZ):
```
12
Lattice="-1.981 3.133 -1.960 -6.424 -1.121 4.704 6.823 3.548 3.259" Properties=species:S:1:pos:R:3 pbc="T T T"
Tm 0.767 1.176 1.105
Tm -2.350 4.384 4.899
Ga -1.920 2.876 2.054
Ga -2.149 -0.152 1.930
Ga 3.012 3.255 2.158
Ga -4.595 2.305 3.846
Ga 0.566 5.713 4.074
Ga 0.337 2.684 3.950
Au -2.074 1.410 -0.134
Au 0.491 4.150 6.138
Au -2.140 1.374 4.361
Au 0.557 4.186 1.643
```


Crystalline La2PmDy at its relaxed geometry, computed with GGA-PBE.

**Energy above the lowest structure with this stoichiometry**: 10 meV per atom
**Calculated volume**: 34.9 Å³ per atom
**Energy relative to the elements**: 0.09 eV per formula unit
**Crystal system**: tetragonal
**Density of states at the Fermi level**: 7.1 states/eV per cell

Structure (extended XYZ):
```
4
Lattice="-3.323 0.370 -1.588 -1.333 -2.694 2.161 -2.590 6.922 7.031" Properties=species:S:1:pos:R:3 pbc="T T T"
Pm -3.623 2.299 3.802
La -1.952 5.215 5.297
La -0.639 1.707 1.734
Dy -2.328 -1.162 0.286
```


Crystalline Tm8Bi2Ru at its relaxed geometry, computed with GGA-PBE.

**Calculated volume**: 28.3 Å³ per atom
**Energy relative to the elements**: -3.78 eV per formula unit
**Crystal system**: monoclinic
**Density of states at the Fermi level**: 9.6 states/eV per cell

Structure (extended XYZ):
```
11
Lattice="4.585 0.000 0.000 0.000 7.136 0.688 -2.292 -2.057 9.307" Properties=species:S:1:pos:R:3 pbc="T T T"
Tm 0.000 1.785 7.894
Tm 2.292 -0.239 2.559
Tm 2.292 3.465 5.781
Tm 0.000 1.615 0.164
Tm 0.000 1.614 4.214
Tm 0.000 5.318 7.436
Tm 2.292 3.294 2.102
Tm 2.292 3.464 9.831
Bi 2.292 0.228 6.046
Bi 0.000 4.851 3.949
Ru 2.292 0.000 0.000
```


Crystalline Rb2Np2Se5 at its relaxed geometry, computed with GGA-PBE.

**Calculated volume**: 29.4 Å³ per atom
**Formation energy from raw total energies**: -1.1683 eV per atom
**Crystal system**: orthorhombic
**Density of states at the Fermi level**: 33.2 states/eV per cell

Structure (extended XYZ):
```
18
Lattice="-7.180 -3.001 1.584 0.558 -4.697 -6.372 3.264 -3.637 7.908" Properties=species:S:1:pos:R:3 pbc="T T T"
Rb 1.459 -2.465 1.945
Rb -1.852 -6.314 -0.449
Rb 2.363 -5.869 -0.408
Rb -1.506 -5.021 3.569
Np -4.276 -5.925 -4.301
Np -2.346 -1.773 -0.487
Np -0.785 -3.586 -3.956
Np -5.836 -4.112 -0.832
Se 0.000 0.000 0.000
Se -3.311 -3.849 -2.394
Se -5.019 -6.885 -1.735
Se -0.076 -3.393 -1.017
Se -1.311 -6.374 -3.869
Se -3.783 -3.904 1.117
Se 1.661 -4.450 4.855
Se -3.282 -7.942 4.138
Se -2.046 -4.961 6.989
Se 0.426 -7.431 2.003
```


Crystalline Be4TlHg at its relaxed geometry, computed with GGA-PBE.

**Calculated volume**: 14.0 Å³ per atom
**Energy relative to the elements**: 3.57 eV per formula unit
**Crystal system**: cubic
**Density of states at the Fermi level**: 1.6 states/eV per cell

Structure (extended XYZ):
```
6
Lattice="0.766 0.492 4.832 1.561 4.294 1.817 -3.031 2.775 2.700" Properties=species:S:1:pos:R:3 pbc="T T T"
Be 1.063 3.342 4.495
Be -1.214 2.589 4.932
Be -0.440 4.718 5.833
Be -0.819 4.474 3.438
Tl 0.000 0.000 0.000
Hg -0.176 1.890 2.337
```


Crystalline Pm2Y3Al3 at its relaxed geometry, computed with GGA-PBE.

**Calculated volume**: 26.3 Å³ per atom
**Energy relative to the elements**: -2.36 eV per formula unit
**Crystal system**: orthorhombic
**Density of states at the Fermi level**: 5.3 states/eV per cell

Structure (extended XYZ):
```
8
Lattice="-2.855 -0.352 2.351 2.620 -3.566 2.648 4.389 9.824 3.867" Properties=species:S:1:pos:R:3 pbc="T T T"
Pm 3.626 2.481 4.775
Pm 0.528 3.425 4.090
Y 3.271 6.022 4.875
Y 0.883 -0.117 3.990
Y -1.428 -0.176 1.175
Al 3.183 4.118 7.419
Al 1.310 -1.783 1.324
Al 0.971 1.787 1.447
```